Below is a relaxed MgCrMo crystal, with properties calculated at the PBE level. Values from VASP.

Calculated values
The relative energy among the computed polymorphs is 140 meV per atom. The volume is 15.133 Å³ per atom. Its formation enthalpy at 0 K is 1.35 eV/f.u. The magnetic moment is 0.00 μB per formula unit.

Geometry as Quantum ESPRESSO input:
```
&SYSTEM
  ibrav = 0, nat = 3, ntyp = 3
/
ATOMIC_SPECIES
Mg 24.30 Mg.upf
Cr 52.00 Cr.upf
Mo 95.94 Mo.upf
ATOMIC_POSITIONS angstrom
Mg 0.000 0.000 0.000
Cr 0.000 0.000 2.674
Mo 0.000 0.000 5.175
CELL_PARAMETERS angstrom
-1.295 2.234 3.923
1.295 -2.234 3.923
1.295 2.234 -3.923
```